[1]
# LiTi3P | Alexandria via LeMat-Bulk | PBE-GGA | relaxed
# * total energy: -31.266 eV per formula unit
# * D(E_F): 3.70 states/eV/cell
# * space-group type: Pm-3m (221)
# * total magnetization: 0.00 μB/f.u.
data_LiTi3P
_chemical_formula_sum 'Li1 Ti3 P1'
_cell_length_a 4.605
_cell_length_b 4.605
_cell_length_c 4.605
_cell_angle_alpha 90.00
_cell_angle_beta 90.00
_cell_angle_gamma 90.00
_space_group_name_H-M_alt 'P 1'
_space_group_IT_number 1
loop_
_space_group_symop_operation_xyz
'x,y,z'
loop_
_atom_site_label
_atom_site_fract_x
_atom_site_fract_y
_atom_site_fract_z
Ti1 0.000 0.500 0.000
Ti2 0.500 0.000 0.000
Li1 0.500 0.500 0.500
Ti3 0.000 0.000 0.500
P1 0.000 0.000 0.000


[2]
# Li2TiP2 | Alexandria via LeMat-Bulk | PBE-GGA | relaxed
# * total energy: -24.457 eV per formula unit
# * D(E_F): 5.91 states/eV/cell
# * space-group type: P4/mbm (127)
# * total magnetization: 0.70 μB/f.u.
data_Li2TiP2
_chemical_formula_sum 'Li4 Ti2 P4'
_cell_length_a 7.119
_cell_length_b 7.119
_cell_length_c 2.655
_cell_angle_alpha 90.00
_cell_angle_beta 90.00
_cell_angle_gamma 90.00
_space_group_name_H-M_alt 'P 1'
_space_group_IT_number 1
loop_
_space_group_symop_operation_xyz
'x,y,z'
loop_
_atom_site_label
_atom_site_fract_x
_atom_site_fract_y
_atom_site_fract_z
P1 0.687 0.813 0.500
Li1 0.889 0.611 0.000
P2 0.813 0.313 0.500
Li2 0.389 0.889 0.000
Ti1 0.500 0.500 0.000
Ti2 0.000 0.000 0.000
Li3 0.611 0.111 0.000
P3 0.313 0.187 0.500
Li4 0.111 0.389 0.000
P4 0.187 0.687 0.500


[3]
# LiTiP2 | Alexandria via LeMat-Bulk | PBE-GGA | relaxed
# * total energy: -22.337 eV per formula unit
# * D(E_F): 2.27 states/eV/cell
# * space-group type: Fm-3m (225)
# * total magnetization: 0.00 μB/f.u.
data_LiTiP2
_chemical_formula_sum 'Li1 Ti1 P2'
_cell_length_a 4.354
_cell_length_b 4.354
_cell_length_c 4.354
_cell_angle_alpha 60.00
_cell_angle_beta 60.00
_cell_angle_gamma 60.00
_space_group_name_H-M_alt 'P 1'
_space_group_IT_number 1
loop_
_space_group_symop_operation_xyz
'x,y,z'
loop_
_atom_site_label
_atom_site_fract_x
_atom_site_fract_y
_atom_site_fract_z
Li1 0.000 0.000 0.000
P1 0.750 0.750 0.750
Ti1 0.500 0.500 0.500
P2 0.250 0.250 0.250


[4]
# Li3TiP | Alexandria via LeMat-Bulk | PBE-GGA | relaxed
# * total energy: -13.351 eV per formula unit
# * D(E_F): 3.48 states/eV/cell
# * space-group type: Pm-3m (221)
# * total magnetization: 3.06 μB/f.u.
data_Li3TiP
_chemical_formula_sum 'Li3 Ti1 P1'
_cell_length_a 4.796
_cell_length_b 4.796
_cell_length_c 4.796
_cell_angle_alpha 90.00
_cell_angle_beta 90.00
_cell_angle_gamma 90.00
_space_group_name_H-M_alt 'P 1'
_space_group_IT_number 1
loop_
_space_group_symop_operation_xyz
'x,y,z'
loop_
_atom_site_label
_atom_site_fract_x
_atom_site_fract_y
_atom_site_fract_z
Li1 0.000 0.500 0.000
Ti1 0.000 0.000 0.000
Li2 0.500 0.000 0.000
P1 0.500 0.500 0.500
Li3 0.000 0.000 0.500


[5]
# LiTiP3 | Alexandria via LeMat-Bulk | PBE-GGA | relaxed
# * total energy: -23.195 eV per formula unit
# * D(E_F): 5.65 states/eV/cell
# * space-group type: Pm-3m (221)
# * total magnetization: 0.00 μB/f.u.
data_LiTiP3
_chemical_formula_sum 'Li1 Ti1 P3'
_cell_length_a 4.287
_cell_length_b 4.287
_cell_length_c 4.287
_cell_angle_alpha 90.00
_cell_angle_beta 90.00
_cell_angle_gamma 90.00
_space_group_name_H-M_alt 'P 1'
_space_group_IT_number 1
loop_
_space_group_symop_operation_xyz
'x,y,z'
loop_
_atom_site_label
_atom_site_fract_x
_atom_site_fract_y
_atom_site_fract_z
P1 0.000 0.500 0.000
P2 0.500 0.000 0.000
Li1 0.000 0.000 0.000
P3 0.000 0.000 0.500
Ti1 0.500 0.500 0.500


[6]
# Li5TiP3 | Alexandria via LeMat-Bulk | PBE-GGA | relaxed
# * total energy: -40.494 eV per formula unit
# * space-group type: C2/c (15)
# * total magnetization: 0.00 μB/f.u.
data_Li5TiP3
_chemical_formula_sum 'Li10 Ti2 P6'
_cell_length_a 7.164
_cell_length_b 7.164
_cell_length_c 8.239
_cell_angle_alpha 73.30
_cell_angle_beta 73.30
_cell_angle_gamma 48.45
_space_group_name_H-M_alt 'P 1'
_space_group_IT_number 1
loop_
_space_group_symop_operation_xyz
'x,y,z'
loop_
_atom_site_label
_atom_site_fract_x
_atom_site_fract_y
_atom_site_fract_z
Li1 0.271 0.729 0.750
P1 0.000 0.000 0.000
Li2 0.070 0.588 0.074
Li3 0.729 0.271 0.250
P2 0.379 0.312 0.826
P3 0.688 0.621 0.674
Li4 0.930 0.412 0.926
P4 0.621 0.688 0.174
P5 0.000 0.000 0.500
Li5 0.912 0.431 0.403
P6 0.312 0.379 0.326
Li6 0.088 0.569 0.597
Li7 0.569 0.088 0.097
Li8 0.412 0.930 0.426
Ti1 0.766 0.234 0.750
Li9 0.431 0.912 0.903
Li10 0.588 0.070 0.574
Ti2 0.234 0.766 0.250


[7]
# LiTiP2 | Alexandria via LeMat-Bulk | PBE-GGA | relaxed
# * total energy: -23.145 eV per formula unit
# * D(E_F): 0.98 states/eV/cell
# * space-group type: R-3m (166)
# * total magnetization: 0.00 μB/f.u.
data_LiTiP2
_chemical_formula_sum 'Li1 Ti1 P2'
_cell_length_a 3.317
_cell_length_b 3.317
_cell_length_c 7.112
_cell_angle_alpha 76.51
_cell_angle_beta 76.51
_cell_angle_gamma 60.00
_space_group_name_H-M_alt 'P 1'
_space_group_IT_number 1
loop_
_space_group_symop_operation_xyz
'x,y,z'
loop_
_atom_site_label
_atom_site_fract_x
_atom_site_fract_y
_atom_site_fract_z
P1 0.756 0.756 0.733
Li1 0.000 0.000 0.000
P2 0.244 0.244 0.267
Ti1 0.500 0.500 0.500


[8]
# Li3TiP | Alexandria via LeMat-Bulk | PBE-GGA | relaxed
# * total energy: -17.515 eV per formula unit
# * D(E_F): 9.54 states/eV/cell
# * space-group type: Pm-3m (221)
# * total magnetization: 0.00 μB/f.u.
data_Li3TiP
_chemical_formula_sum 'Li3 Ti1 P1'
_cell_length_a 4.435
_cell_length_b 4.435
_cell_length_c 4.435
_cell_angle_alpha 90.00
_cell_angle_beta 90.00
_cell_angle_gamma 90.00
_space_group_name_H-M_alt 'P 1'
_space_group_IT_number 1
loop_
_space_group_symop_operation_xyz
'x,y,z'
loop_
_atom_site_label
_atom_site_fract_x
_atom_site_fract_y
_atom_site_fract_z
Li1 0.000 0.000 0.500
Li2 0.500 0.000 0.000
Li3 0.000 0.500 0.000
Ti1 0.500 0.500 0.500
P1 0.000 0.000 0.000


[9]
# Li2TiP | Alexandria via LeMat-Bulk | PBE-GGA | relaxed
# * total energy: -18.432 eV per formula unit
# * D(E_F): 3.81 states/eV/cell
# * space-group type: I-42d (122)
# * total magnetization: 0.00 μB/f.u.
data_Li2TiP
_chemical_formula_sum 'Li4 Ti2 P2'
_cell_length_a 3.522
_cell_length_b 3.522
_cell_length_c 10.174
_cell_angle_alpha 80.03
_cell_angle_beta 80.03
_cell_angle_gamma 90.00
_space_group_name_H-M_alt 'P 1'
_space_group_IT_number 1
loop_
_space_group_symop_operation_xyz
'x,y,z'
loop_
_atom_site_label
_atom_site_fract_x
_atom_site_fract_y
_atom_site_fract_z
Ti1 0.000 0.000 0.000
P1 0.500 0.500 0.000
Li1 0.597 0.125 0.250
P2 0.250 0.750 0.500
Ti2 0.750 0.250 0.500
Li2 0.153 0.625 0.250
Li3 0.375 0.403 0.750
Li4 0.875 0.847 0.750


[10]
# Li2TiP4 | Alexandria via LeMat-Bulk | PBE-GGA | relaxed
# * total energy: -33.136 eV per formula unit
# * D(E_F): 4.58 states/eV/cell
# * space-group type: I4/mmm (139)
# * total magnetization: 0.00 μB/f.u.
data_Li2TiP4
_chemical_formula_sum 'Li2 Ti1 P4'
_cell_length_a 4.680
_cell_length_b 4.680
_cell_length_c 7.052
_cell_angle_alpha 70.62
_cell_angle_beta 70.62
_cell_angle_gamma 90.00
_space_group_name_H-M_alt 'P 1'
_space_group_IT_number 1
loop_
_space_group_symop_operation_xyz
'x,y,z'
loop_
_atom_site_label
_atom_site_fract_x
_atom_site_fract_y
_atom_site_fract_z
Li1 0.613 0.613 0.774
Li2 0.387 0.387 0.226
P1 0.808 0.808 0.384
P2 0.500 0.000 0.000
P3 0.000 0.500 0.000
Ti1 0.000 0.000 0.000
P4 0.192 0.192 0.616


[11]
# Li2TiP2 | Alexandria via LeMat-Bulk | PBE-GGA | relaxed
# * total energy: -25.230 eV per formula unit
# * D(E_F): 2.41 states/eV/cell
# * space-group type: I4/mmm (139)
# * total magnetization: 0.00 μB/f.u.
data_Li2TiP2
_chemical_formula_sum 'Li2 Ti1 P2'
_cell_length_a 3.498
_cell_length_b 3.498
_cell_length_c 6.106
_cell_angle_alpha 73.35
_cell_angle_beta 73.35
_cell_angle_gamma 90.00
_space_group_name_H-M_alt 'P 1'
_space_group_IT_number 1
loop_
_space_group_symop_operation_xyz
'x,y,z'
loop_
_atom_site_label
_atom_site_fract_x
_atom_site_fract_y
_atom_site_fract_z
Ti1 0.000 0.000 0.000
P1 0.400 0.400 0.199
P2 0.600 0.600 0.801
Li1 0.750 0.250 0.500
Li2 0.250 0.750 0.500


[12]
# Li2TiP2 | Alexandria via LeMat-Bulk | PBE-GGA | relaxed
# * total energy: -23.295 eV per formula unit
# * D(E_F): 2.66 states/eV/cell
# * space-group type: I4/mmm (139)
# * total magnetization: 0.00 μB/f.u.
data_Li2TiP2
_chemical_formula_sum 'Li2 Ti1 P2'
_cell_length_a 4.324
_cell_length_b 4.324
_cell_length_c 4.846
_cell_angle_alpha 63.50
_cell_angle_beta 63.50
_cell_angle_gamma 90.00
_space_group_name_H-M_alt 'P 1'
_space_group_IT_number 1
loop_
_space_group_symop_operation_xyz
'x,y,z'
loop_
_atom_site_label
_atom_site_fract_x
_atom_site_fract_y
_atom_site_fract_z
P1 0.250 0.750 0.500
P2 0.750 0.250 0.500
Ti1 0.000 0.000 0.000
Li1 0.640 0.640 0.720
Li2 0.360 0.360 0.280


[13]
# LiTiP2 | Alexandria via LeMat-Bulk | PBE-GGA | relaxed
# * total energy: -21.377 eV per formula unit
# * D(E_F): 5.88 states/eV/cell
# * space-group type: I-42d (122)
# * total magnetization: 0.00 μB/f.u.
data_LiTiP2
_chemical_formula_sum 'Li2 Ti2 P4'
_cell_length_a 5.156
_cell_length_b 5.156
_cell_length_c 7.571
_cell_angle_alpha 70.09
_cell_angle_beta 70.09
_cell_angle_gamma 90.00
_space_group_name_H-M_alt 'P 1'
_space_group_IT_number 1
loop_
_space_group_symop_operation_xyz
'x,y,z'
loop_
_atom_site_label
_atom_site_fract_x
_atom_site_fract_y
_atom_site_fract_z
P1 0.375 0.336 0.750
Ti1 0.000 0.000 0.000
P2 0.086 0.625 0.250
Li1 0.250 0.750 0.500
P3 0.664 0.125 0.250
Ti2 0.750 0.250 0.500
Li2 0.500 0.500 0.000
P4 0.875 0.914 0.750


[14]
# LiTiP3 | Alexandria via LeMat-Bulk | PBE-GGA | relaxed
# * total energy: -26.110 eV per formula unit
# * D(E_F): 3.55 states/eV/cell
# * space-group type: Pm-3m (221)
# * total magnetization: 0.00 μB/f.u.
data_LiTiP3
_chemical_formula_sum 'Li1 Ti1 P3'
_cell_length_a 4.704
_cell_length_b 4.704
_cell_length_c 4.704
_cell_angle_alpha 90.00
_cell_angle_beta 90.00
_cell_angle_gamma 90.00
_space_group_name_H-M_alt 'P 1'
_space_group_IT_number 1
loop_
_space_group_symop_operation_xyz
'x,y,z'
loop_
_atom_site_label
_atom_site_fract_x
_atom_site_fract_y
_atom_site_fract_z
P1 0.500 0.000 0.000
P2 0.000 0.000 0.500
Li1 0.500 0.500 0.500
Ti1 0.000 0.000 0.000
P3 0.000 0.500 0.000


[15]
# LiTiP2 | Alexandria via LeMat-Bulk | PBE-GGA | relaxed
# * total energy: -23.440 eV per formula unit
# * D(E_F): 1.34 states/eV/cell
# * space-group type: R3m (160)
# * total magnetization: 0.00 μB/f.u.
data_LiTiP2
_chemical_formula_sum 'Li1 Ti1 P2'
_cell_length_a 3.715
_cell_length_b 3.715
_cell_length_c 5.512
_cell_angle_alpha 70.30
_cell_angle_beta 70.30
_cell_angle_gamma 60.00
_space_group_name_H-M_alt 'P 1'
_space_group_IT_number 1
loop_
_space_group_symop_operation_xyz
'x,y,z'
loop_
_atom_site_label
_atom_site_fract_x
_atom_site_fract_y
_atom_site_fract_z
Li1 0.490 0.490 0.529
P1 0.093 0.093 0.722
P2 0.246 0.246 0.261
Ti1 0.671 0.671 0.988


[16]
# Li2TiP2 | Alexandria via LeMat-Bulk | PBE-GGA | relaxed
# * total energy: -25.173 eV per formula unit
# * D(E_F): 3.08 states/eV/cell
# * space-group type: P4/mbm (127)
# * total magnetization: 1.93 μB/f.u.
data_Li2TiP2
_chemical_formula_sum 'Li4 Ti2 P4'
_cell_length_a 6.344
_cell_length_b 6.344
_cell_length_c 3.933
_cell_angle_alpha 90.00
_cell_angle_beta 90.00
_cell_angle_gamma 90.00
_space_group_name_H-M_alt 'P 1'
_space_group_IT_number 1
loop_
_space_group_symop_operation_xyz
'x,y,z'
loop_
_atom_site_label
_atom_site_fract_x
_atom_site_fract_y
_atom_site_fract_z
Li1 0.329 0.171 0.500
Li2 0.671 0.829 0.500
Ti1 0.500 0.500 0.000
Ti2 0.000 0.000 0.000
P1 0.872 0.628 0.000
P2 0.628 0.128 0.000
Li3 0.171 0.671 0.500
Li4 0.829 0.329 0.500
P3 0.128 0.372 0.000
P4 0.372 0.872 0.000


[17]
# LiTlP2 | Alexandria via LeMat-Bulk | PBE-GGA | relaxed
# * total energy: -15.494 eV per formula unit
# * D(E_F): 1.68 states/eV/cell
# * space-group type: Amm2 (38)
# * total magnetization: 0.00 μB/f.u.
data_LiTlP2
_chemical_formula_sum 'Li1 Tl1 P2'
_cell_length_a 4.415
_cell_length_b 4.415
_cell_length_c 5.491
_cell_angle_alpha 90.01
_cell_angle_beta 90.01
_cell_angle_gamma 56.75
_space_group_name_H-M_alt 'P 1'
_space_group_IT_number 1
loop_
_space_group_symop_operation_xyz
'x,y,z'
loop_
_atom_site_label
_atom_site_fract_x
_atom_site_fract_y
_atom_site_fract_z
P1 0.874 0.874 0.190
P2 0.874 0.874 0.811
Tl1 0.552 0.552 0.500
Li1 0.200 0.200 0.000


[18]
# LiTlP | Alexandria via LeMat-Bulk | PBE-GGA | relaxed
# * total energy: -9.355 eV per formula unit
# * D(E_F): 1.45 states/eV/cell
# * space-group type: F-43m (216)
# * total magnetization: 0.00 μB/f.u.
data_LiTlP
_chemical_formula_sum 'Li1 Tl1 P1'
_cell_length_a 4.639
_cell_length_b 4.639
_cell_length_c 4.639
_cell_angle_alpha 60.00
_cell_angle_beta 60.00
_cell_angle_gamma 60.00
_space_group_name_H-M_alt 'P 1'
_space_group_IT_number 1
loop_
_space_group_symop_operation_xyz
'x,y,z'
loop_
_atom_site_label
_atom_site_fract_x
_atom_site_fract_y
_atom_site_fract_z
Li1 0.000 0.000 0.000
P1 0.500 0.500 0.500
Tl1 0.250 0.250 0.250


[19]
# LiTlP2 | Alexandria via LeMat-Bulk | PBE-GGA | relaxed
# * total energy: -15.768 eV per formula unit
# * D(E_F): 1.49 states/eV/cell
# * space-group type: Pmm2 (25)
# * total magnetization: 0.00 μB/f.u.
data_LiTlP2
_chemical_formula_sum 'Li1 Tl1 P2'
_cell_length_a 3.273
_cell_length_b 4.251
_cell_length_c 6.489
_cell_angle_alpha 89.95
_cell_angle_beta 90.00
_cell_angle_gamma 90.00
_space_group_name_H-M_alt 'P 1'
_space_group_IT_number 1
loop_
_space_group_symop_operation_xyz
'x,y,z'
loop_
_atom_site_label
_atom_site_fract_x
_atom_site_fract_y
_atom_site_fract_z
P1 0.500 0.125 0.141
P2 0.000 0.125 0.911
Tl1 0.000 0.625 0.508
Li1 0.500 0.625 0.941


[20]
# LiTl2P | Alexandria via LeMat-Bulk | PBE-GGA | relaxed
# * total energy: -12.400 eV per formula unit
# * D(E_F): 0.45 states/eV/cell
# * space-group type: P2/m (10)
# * total magnetization: 0.00 μB/f.u.
data_LiTl2P
_chemical_formula_sum 'Li1 Tl2 P1'
_cell_length_a 4.146
_cell_length_b 6.380
_cell_length_c 6.387
_cell_angle_alpha 44.93
_cell_angle_beta 90.00
_cell_angle_gamma 90.00
_space_group_name_H-M_alt 'P 1'
_space_group_IT_number 1
loop_
_space_group_symop_operation_xyz
'x,y,z'
loop_
_atom_site_label
_atom_site_fract_x
_atom_site_fract_y
_atom_site_fract_z
Li1 0.500 0.250 0.250
Tl1 0.000 0.588 0.587
P1 0.500 0.750 0.750
Tl2 0.000 0.912 0.913